This record from Alexandria via LeMat-Bulk describes a relaxed structure of YMoOs2Pb. The functional is PBE.

## Properties
- VASP energy: -29.5 eV/cell
- DFT formation energy: 2788.6 meV/atom
- Magnetic moment: 0.30 μB per formula unit
- E above lowest polymorph: 1578 meV/atom
- Symmetry: P4/mmm (123)
- Volume: 25.02 Å³/atom

a b c (Å): 4.823 5.378 4.823
angles (deg): 90.00 90.00 90.00
Element x y z (fractional)
Pb  0.000  0.500  0.000
Y  0.000  0.000  0.000
Mo  0.500  0.500  0.500
Os  0.000  0.000  0.500
Os  0.500  0.000  0.000

***

This record from Alexandria via LeMat-Bulk describes a relaxed structure of YMoOs2Pb. The functional is PBE.

## Properties
- VASP energy: -37.4 eV/cell
- DFT formation energy: 1210.8 meV/atom
- Magnetic moment: 0.00 μB per formula unit
- E above lowest polymorph: 0 meV/atom
- Symmetry: P4/mmm (123)
- Volume: 23.92 Å³/atom

a b c (Å): 4.769 5.258 4.769
angles (deg): 90.00 90.00 90.00
Element x y z (fractional)
Pb  0.500  0.500  0.500
Y  0.000  0.500  0.000
Mo  0.000  0.000  0.000
Os  0.000  0.000  0.500
Os  0.500  0.000  0.000

***

- What is the formula in the first record?
  YMoOs2Pb

***

- What is the volume in the first record?
  25.02 Å³/atom

***

- What is the DFT formation energy in the first record?
  2788.6 meV/atom

***

- What is the E above lowest polymorph in the first record?
  1578 meV/atom